The following is a PBE-GGA calculation of La2Si3NiIr4 after structural relaxation, from Alexandria.

abc: 4.1754 4.1754 10.1499
angles: 90.00 90.00 90.00
With the nearest neighbours (Å) after each atom.
Sites, in units of the cell vectors:
Si (0.5000, 0.0000, 0.8739)  5 Ir 2.44-2.45
Si (0.0000, 0.0000, 0.5000)  4 Ir 2.49
Si (0.0000, 0.5000, 0.1261)  5 Ir 2.44-2.45
Ni (0.5000, 0.5000, 0.5000)  4 Ir 2.49
Ir (0.0000, 0.5000, 0.3669)  3 Si 2.44-2.49, 2 Ni 2.49
Ir (0.0000, 0.0000, 0.0000)  4 Si 2.45
Ir (0.5000, 0.5000, 0.0000)  4 Si 2.45
Ir (0.5000, 0.0000, 0.6331)  3 Si 2.44-2.49, 2 Ni 2.49
La (0.5000, 0.0000, 0.2571)  8 Ir 3.16-3.34, 2 Ni 3.23, 6 Si 3.23-3.24
La (0.0000, 0.5000, 0.7429)  8 Ir 3.16-3.34, 2 Ni 3.23, 6 Si 3.23-3.24

Values from the calculation:
total DFT energy (no corrections): -7.63 eV per atom
space-group type: P-4m2